Entry 1:
A plane-wave DFT calculation with PBE was carried out for a relaxed structure of Cs2NiIrBr6.

Output
ΔE_f (raw), eV per atom: -0.719
Symmetry: No. 139

Lattice parameters (Å, degrees): 7.440 7.440 7.430 59.95 59.95 90.00
Site moments in Bohr magnetons follow the coordinates.
Positions (direct):
1 Cs 0.750 0.250 0.500  0.00
2 Cs 0.250 0.750 0.500  0.00
3 Ni 0.500 0.500 0.000  0.94
4 Ir 0.000 0.000 0.000  -0.06
5 Br 0.247 0.247 0.507  0.02
6 Br 0.753 0.753 0.493  0.02
7 Br 0.246 0.246 0.000  0.02
8 Br 0.754 0.754 0.000  0.02
9 Br 0.754 0.246 0.000  0.02
10 Br 0.246 0.754 0.000  0.02

Entry 2:
A plane-wave DFT calculation with PBE was carried out for a relaxed structure of MoAs2Ir.

Output
Formation enthalpy at 0 K, kJ/mol of atoms: 10.9
Energy above the lowest structure with this stoichiometry, eV/f.u.: 0.63
Symmetry: No. 12

Lattice parameters (Å, degrees): 4.330 4.330 5.261 78.02 78.02 40.77
Positions (direct):
1 Mo 0.750 0.750 0.750
2 Ir 0.250 0.250 0.250
3 As 0.000 0.000 0.990
4 As 0.500 0.500 0.510

Entry 3:
A plane-wave DFT calculation with PBE was carried out for a relaxed structure of Hf2NbGa5.

Output
Formation enthalpy at 0 K, kJ/mol of atoms: -33.6
Symmetry: No. 107

Lattice parameters (Å, degrees): 5.662 5.662 5.662 102.34 113.15 113.15
Positions (direct):
1 Hf 0.500 0.272 0.772
2 Hf 0.500 0.772 0.272
3 Nb 0.000 0.851 0.851
4 Ga 0.424 0.734 0.734
5 Ga 0.000 0.734 0.310
6 Ga 0.000 0.310 0.734
7 Ga 0.576 0.310 0.310
8 Ga 0.000 0.239 0.239

no.,uncorrected energy (eV/atom)
1,-3.358
2,-7.134
3,-5.987